[1]
The following is a DFT calculation (PBE) of a relaxed structure of Cd2NiPt.

## Properties
Its density of states at the Fermi level is 0.361 states/eV/atom. The total magnetic moment is 0.000 μB/f.u. As for the electronic total energy: -3.54 eV/atom.

Cell lengths 2.9744, 3.7653, 5.9202 Å; angles 90.00, 90.22, 90.00 degrees
Last column: nearest neighbours and their distance in Å.
Space group P2/m (No. 10)
Inequivalent atoms, fractional coordinates:
Cd1 0.9997 0.0000 0.2400  4 Ni 2.79, 4 Cd 2.84-3.08, 4 Pt 2.85
Ni1 0.5000 0.5000 0.0000  8 Cd 2.79, 2 Pt 2.96, 2 Ni 2.97
Pt1 0.5000 0.5000 0.5000  8 Cd 2.85, 2 Ni 2.96, 2 Pt 2.97

[2]
The following is a DFT calculation (PBE) of a relaxed structure of Cd2NiPt.

## Properties
Its density of states at the Fermi level is 0.716 states/eV/atom. The total magnetic moment is 0.000 μB/f.u. As for the electronic total energy: -3.52 eV/atom.

Cell lengths 10.0759, 2.9289, 4.7997 Å; angles 90.00, 107.28, 90.00 degrees
Last column: nearest neighbours and their distance in Å.
Space group Cm (No. 8)
Inequivalent atoms, fractional coordinates:
Cd1 0.0000 0.0000 0.0000  3 Ni 2.78-2.88, 4 Pt 2.84-2.86, 3 Cd 2.93-3.09
Cd2 0.2109 0.0000 0.6447  4 Ni 2.79-2.87, 3 Pt 2.81-2.88, 3 Cd 2.93-3.09
Ni1 0.2456 0.5000 0.1572  2 Pt 2.62, 7 Cd 2.78-2.88, 2 Ni 2.93
Pt1 0.4527 0.0000 0.4683  2 Ni 2.62, 7 Cd 2.81-2.88, 2 Pt 2.93

Question: Which of these has the lowest electronic total energy?
Answer: number 1